Entry 1:
PBE InHgMo2, relaxed; electronic total energy = -22.2 eV per cell; space-group type = F-43m (216)
1.0
0.000 3.322 3.322
3.322 0.000 3.322
3.322 3.322 0.000
Hg In Mo
1 1 2
Cartesian
1.661 1.661 1.661
3.322 3.322 3.322
0.000 0.000 0.000
4.983 4.983 4.983

Entry 2:
PBE InNiHgMo, relaxed; space-group type = F-43m (216); polymorph energy (0 for the lowest one) = 0 meV/atom
1.0
0.203 -4.586 0.575
-2.464 -2.022 3.353
-3.650 -2.630 -1.077
Hg In Mo Ni
1 1 1 1
Cartesian
-2.955 -4.619 1.426
0.000 0.000 0.000
-1.478 -2.309 0.713
-4.433 -6.928 2.139

Entry 3:
PBE InNiHgMo, relaxed; space-group type = F-43m (216); polymorph energy (0 for the lowest one) = 730 meV/atom
1.0
0.000 3.765 3.765
3.765 0.000 3.765
3.765 3.765 0.000
Hg In Mo Ni
1 1 1 1
Cartesian
1.882 1.882 1.882
0.000 0.000 0.000
3.765 3.765 3.765
5.647 5.647 5.647